Entry P
VASP calculation (GGA-PBEsol) on TaReIr2 after structural relaxation.

a b c (Å): 3.9044 3.9044 3.8894
angles (deg): 90.00 90.00 90.00
Closest atoms and distances in Å follow each position.
Element x y z (fractional)
Ta1 0.0000 0.0000 0.0000  8 Ir 2.76, 4 Re 2.76
Re1 0.5000 0.5000 0.0000  8 Ir 2.76, 4 Ta 2.76
Ir1 0.0000 0.5000 0.5000  4 Ta 2.76, 4 Re 2.76, 4 Ir 2.76
Ir2 0.5000 0.0000 0.5000  4 Ta 2.76, 4 Re 2.76, 4 Ir 2.76

Calculated values
space-group type	P4/mmm, No. 123



Entry Q
VASP calculation (GGA-PBEsol) on TaReIr2 after structural relaxation.

a b c (Å): 4.7777 4.7777 4.7777
angles (deg): 131.82 131.82 70.52
Closest atoms and distances in Å follow each position.
Element x y z (fractional)
Ta1 0.0000 0.0000 0.0000  4 Re 2.76, 8 Ir 2.76
Re1 0.5000 0.5000 0.0000  4 Ta 2.76, 8 Ir 2.76
Ir1 0.2500 0.7500 0.5000  4 Ir 2.76, 4 Ta 2.76, 4 Re 2.76
Ir2 0.7500 0.2500 0.5000  4 Ir 2.76, 4 Ta 2.76, 4 Re 2.76

Calculated values
space-group type	I4/mmm, No. 139



Entry R
VASP calculation (GGA-PBEsol) on TaReIr2 after structural relaxation.

a b c (Å): 4.4263 4.4263 4.4263
angles (deg): 60.00 60.00 60.00
Closest atoms and distances in Å follow each position.
Element x y z (fractional)
Ta1 0.0000 0.0000 0.0000  8 Ir 2.71
Re1 0.5000 0.5000 0.5000  8 Ir 2.71
Ir1 0.2500 0.2500 0.2500  4 Ta 2.71, 4 Re 2.71
Ir2 0.7500 0.7500 0.7500  4 Ta 2.71, 4 Re 2.71

Calculated values
space-group type	Fm-3m, No. 225



entry P ends up most stable, edging out the next structure by 0.035 eV/atom.